This record from Alexandria via LeMat-Bulk describes crystalline Li3PmSc2Te6 at its relaxed geometry. The functional is PBE.

Unit cell a=7.3755 b=7.3755 c=7.4255 alpha=99.58 beta=99.58 gamma=120.03
Closest atoms and distances in Å follow each position.
Element x y z (fractional)
Li (0.0000, 0.0000, 0.0000)  6 Te 2.91-3.07
Li (0.3390, 0.6610, 0.0000)  6 Te 2.96-3.09
Li (0.6610, 0.3390, 0.0000)  6 Te 2.96-3.09
Pm (0.5000, 0.5000, 0.5000)  6 Te 3.12-3.13
Sc (0.1676, 0.8324, 0.5000)  6 Te 2.96-2.97
Sc (0.8324, 0.1676, 0.5000)  6 Te 2.96-2.97
Te (0.0651, 0.4164, 0.2507)  2 Sc 2.96, 3 Li 2.96-3.09, 1 Pm 3.12
Te (0.2322, 0.2322, 0.7499)  3 Li 2.91-3.02, 2 Sc 2.97, 1 Pm 3.13
Te (0.4164, 0.0651, 0.2507)  2 Sc 2.96, 3 Li 2.96-3.09, 1 Pm 3.12
Te (0.5836, 0.9349, 0.7493)  2 Sc 2.96, 3 Li 2.96-3.09, 1 Pm 3.12
Te (0.7678, 0.7678, 0.2501)  3 Li 2.91-3.02, 2 Sc 2.97, 1 Pm 3.13
Te (0.9349, 0.5836, 0.7493)  2 Sc 2.96, 3 Li 2.96-3.09, 1 Pm 3.12

total energy	-56.532	eV for the cell shown